A plane-wave DFT calculation with PBE-GGA was carried out for a relaxed Li3BH6 crystal.

Lattice parameters (Å, degrees): 4.304 4.706 7.579 90.00 121.40 90.00
Space group P2_1/c (No. 14)
One atom of each set of equivalent atoms:
Li  0.000  0.000  0.000 (multiplicity 2)
Li  0.294  0.091  0.760 (multiplicity 4)
B  0.500  0.000  0.500 (multiplicity 2)
H  0.179  0.033  0.288 (multiplicity 4)
H  0.290  0.653  0.051 (multiplicity 4)
H  0.402  0.223  0.063 (multiplicity 4)

Computed properties:
Size of the total moment (μB per cell): 0.0
Density of states at the Fermi level (states/eV per cell): 0.0
Final energy (eV per formula unit): -32.82
Excess energy over the best structure of this formula in the dataset (eV per atom): 0.117